Computed, not measured: crystalline La3MgO at its relaxed geometry at the PBE level of DFT.

POSCAR file:
```
La3MgO
1.0
5.3977 0.0000 0.0000
0.0000 5.3977 0.0000
2.6989 2.6989 12.8494
La Mg O
6 2 2
direct
0.6275 0.8758 0.2483
0.6884 0.6884 0.6232
0.1242 0.8758 0.2483
0.1242 0.8758 0.7517
0.3116 0.3116 0.3768
0.1242 0.3725 0.7517
0.0000 0.0000 0.0000
0.2500 0.7500 0.5000
0.6565 0.1565 0.6871
0.8435 0.3435 0.3129
```

Calculated values
**Energy above the lowest structure with this stoichiometry**: 1358.7 meV per atom
**Formation energy without anion corrections**: 0.151 eV per atom
**Crystal system**: tetragonal

=====

Computed, not measured: crystalline Sm3Ni2Ir at its relaxed geometry at the PBE level of DFT.

POSCAR file:
```
Sm3Ni2Ir
1.0
-1.3925 3.7463 0.6738
-4.0561 0.4547 -10.9101
-10.0393 -4.3702 3.5502
Ni Sm Ir
8 12 4
direct
0.2500 0.0089 0.3158
0.2500 0.6950 0.4806
0.2500 0.8050 0.9806
0.7500 0.9911 0.6842
0.7500 0.5089 0.1842
0.2500 0.4911 0.8158
0.7500 0.3050 0.5194
0.7500 0.1950 0.0194
0.2500 0.3785 0.0579
0.7500 0.8785 0.4421
0.7500 0.1938 0.2940
0.7500 0.9424 0.1201
0.2500 0.8062 0.7060
0.7500 0.5576 0.6201
0.7500 0.6215 0.9421
0.2500 0.4424 0.3799
0.2500 0.1215 0.5579
0.7500 0.3062 0.7940
0.2500 0.0576 0.8799
0.2500 0.6938 0.2060
0.2500 0.3716 0.6270
0.7500 0.8716 0.8730
0.2500 0.1284 0.1270
0.7500 0.6284 0.3730
```

Calculated values
**ΔE_f**: -0.4302 eV per atom
**Crystal system**: orthorhombic

=====

Computed, not measured: crystalline Tm2NiI2 at its relaxed geometry at the PBE level of DFT.

POSCAR file:
```
Tm2NiI2
1.0
3.9094 0.0000 0.7299
1.8997 3.4320 0.6595
-0.2418 -0.1467 12.1298
Tm I Ni
2 2 1
direct
0.2873 0.8012 0.6242
0.7127 0.1988 0.3758
0.5542 0.0882 0.8035
0.4458 0.9118 0.1965
0.0000 0.5000 0.5000
```

Calculated values
**Formation energy without anion corrections**: -0.873 eV per atom
**Crystal system**: monoclinic

=====

What did we get for M_tot? Answer: 0.000; 0.000; 0.000 μB/atom, in the order shown.